! PBE TbSm, optimized geometry; values from VASP
! Energy relative to the elements, eV/atom: 0.1227
! DFT total energy, Ha/atom: -0.167
! Energy above the most stable polymorph in this dataset, meV/atom: 102
! Fermi-level density of states, states/eV per atom: 1.84
&SYSTEM
  ibrav = 0, nat = 6, ntyp = 2
/
ATOMIC_SPECIES
Tb 158.93 Tb.upf
Sm 150.36 Sm.upf
CELL_PARAMETERS angstrom
3.420 0.000 -0.973
-0.826 5.364 -2.902
0.897 1.826 9.646
ATOMIC_POSITIONS crystal
Tb 0.000 0.833 0.000
Tb 0.842 0.344 0.683
Tb 0.158 0.661 0.317
Sm 0.500 0.336 0.000
Sm 0.657 0.159 0.313
Sm 0.343 0.845 0.687

! PBE CdAg2PtAu, optimized geometry; values from VASP
! Energy relative to the elements, eV/atom: 0.1323
! DFT total energy, Ha/atom: -0.112
! Fermi-level density of states, states/eV per atom: 0.25
&SYSTEM
  ibrav = 0, nat = 10, ntyp = 4
/
ATOMIC_SPECIES
Ag 107.87 Ag.upf
Pt 195.08 Pt.upf
Au 196.97 Au.upf
Cd 112.41 Cd.upf
CELL_PARAMETERS angstrom
-3.504 -1.635 3.917
-3.808 -1.099 -3.865
4.378 -6.079 1.378
ATOMIC_POSITIONS crystal
Ag 0.500 0.748 0.000
Ag 0.000 0.748 0.000
Ag 0.000 0.252 0.000
Ag 0.500 0.252 0.000
Pt 0.750 0.852 0.704
Pt 0.250 0.148 0.296
Au 0.250 0.849 0.698
Au 0.750 0.151 0.302
Cd 0.750 0.341 0.681
Cd 0.250 0.659 0.319

! PBE VCdGa2H, optimized geometry; values from VASP
! DFT total energy, Ha/atom: -0.130
! Fermi-level density of states, states/eV per atom: 0.14
&SYSTEM
  ibrav = 0, nat = 5, ntyp = 4
/
ATOMIC_SPECIES
H 1.01 H.upf
Ga 69.72 Ga.upf
Cd 112.41 Cd.upf
V 50.94 V.upf
CELL_PARAMETERS angstrom
4.179 0.000 0.000
0.000 4.043 0.000
0.000 0.000 4.179
ATOMIC_POSITIONS crystal
H 0.000 0.000 0.000
Ga 0.000 0.000 0.500
Ga 0.500 0.000 0.000
Cd 0.000 0.500 0.000
V 0.500 0.500 0.500